Arrangement w

A geometry-optimized YZr2Cl structure, computed with PBE.

abc: 3.2981 5.9042 5.0097
angles: 90.00 92.03 90.00
Space group P2/m (No. 10)
Symmetry-distinct sites (fractional):
1 Y 0.0000 0.0000 0.0000 (multiplicity 1)
2 Zr 0.3162 0.5000 0.7695 (multiplicity 2)
3 Cl 0.5000 0.0000 0.5000 (multiplicity 1)

=====

Arrangement x

A geometry-optimized YZr2Cl structure, computed with PBE.

abc: 7.2803 7.2803 7.2803
angles: 90.00 90.00 90.00
Space group F-43m (No. 216)
Symmetry-distinct sites (fractional):
1 Y 0.0000 0.0000 0.0000 (multiplicity 4)
2 Zr 0.0000 0.0000 0.5000 (multiplicity 4)
3 Zr 0.2500 0.2500 0.2500 (multiplicity 4)
4 Cl 0.2500 0.2500 0.7500 (multiplicity 4)

=====

Stability verdict: arrangement w, ahead by 449 meV per atom